The following is a DFT calculation (PBE) of an optimized crystal structure of TlSiAg.

**Energy relative to the elements, uncorrected**: 0.375 eV/atom
**Total energy**: -9.52 eV for the cell shown
**Crystal system**: orthorhombic
**Mass density**: 8.3 Mg/m³

a = 6.199 Å, b = 6.199 Å, c = 6.199 Å
α = 152.21°, β = 142.12°, γ = 47.63°
Fractional positions:
1 Tl 0.331 0.331 0.000
2 Si 0.626 0.626 0.000
3 Ag 0.043 0.043 0.000


The following is a DFT calculation (PBE) of an optimized crystal structure of Pm2TmRh2.

**Total energy**: -127.50 eV for the cell shown
**Energy of formation**: -3.20 eV/f.u.
**Crystal system**: monoclinic
**Mass density**: 8.7 Mg/m³
**E above lowest polymorph**: 11 meV/atom

a = 7.569 Å, b = 7.113 Å, c = 9.679 Å
α = 90.00°, β = 102.46°, γ = 90.00°
Fractional positions:
1 Tm 0.195 0.848 0.592
2 Tm 0.305 0.348 0.408
3 Tm 0.695 0.652 0.592
4 Tm 0.805 0.152 0.408
5 Rh 0.262 0.028 0.857
6 Rh 0.738 0.972 0.143
7 Rh 0.238 0.528 0.143
8 Rh 0.899 0.981 0.674
9 Rh 0.399 0.519 0.674
10 Rh 0.601 0.481 0.326
11 Rh 0.101 0.019 0.326
12 Rh 0.762 0.472 0.857
13 Pm 0.411 0.849 0.273
14 Pm 0.089 0.349 0.727
15 Pm 0.589 0.151 0.727
16 Pm 0.911 0.651 0.273
17 Pm 0.996 0.770 0.943
18 Pm 0.496 0.730 0.943
19 Pm 0.504 0.270 0.057
20 Pm 0.004 0.230 0.057


The following is a DFT calculation (PBE) of an optimized crystal structure of ScTaZn2.

**Total energy**: -21.15 eV for the cell shown
**Energy of formation**: -0.41 eV/f.u.
**Crystal system**: orthorhombic
**Mass density**: 8.6 Mg/m³
**E above lowest polymorph**: 19 meV/atom

a = 3.016 Å, b = 3.842 Å, c = 5.918 Å
α = 90.00°, β = 90.00°, γ = 90.00°
Fractional positions:
1 Zn 0.000 0.000 0.986
2 Zn 0.000 0.000 0.514
3 Ta 0.500 0.500 0.750
4 Sc 0.500 0.500 0.250


The following is a DFT calculation (PBE) of an optimized crystal structure of PIrO2.

**Energy relative to the elements, uncorrected**: 0.073 eV/atom
**Total energy**: -47.79 eV for the cell shown
**Crystal system**: tetragonal
**Mass density**: 9.6 Mg/m³

a = 3.686 Å, b = 3.686 Å, c = 7.030 Å
α = 74.80°, β = 74.80°, γ = 90.00°
Fractional positions:
1 O 0.130 0.625 0.250
2 O 0.875 0.870 0.750
3 O 0.375 0.380 0.750
4 O 0.620 0.125 0.250
5 Ir 0.750 0.250 0.500
6 Ir 0.000 0.000 0.000
7 P 0.500 0.500 0.000
8 P 0.250 0.750 0.500


Summary of DOS at the Fermi energy in states/eV/cell
1.252; 12.740; 2.253; 3.884
(order as listed above)